A plane-wave DFT calculation with PBE was carried out for a relaxed TmTe2Ir crystal.

Lattice parameters (Å, degrees): 9.0876 9.0876 9.0876 25.34 25.34 25.34
Sites, in units of the cell vectors:
1 Tm 0.0000 0.0000 0.0000
2 Te 0.1151 0.1151 0.1151
3 Te 0.8849 0.8849 0.8849
4 Ir 0.5000 0.5000 0.5000

## Properties
* E_form (uncorrected): -0.17 eV/atom



A plane-wave DFT calculation with PBE was carried out for a relaxed Tm5Te4Ir crystal.

Lattice parameters (Å, degrees): 15.9013 15.9013 15.9013 164.92 164.92 21.39
Sites, in units of the cell vectors:
1 Tm 0.0000 0.0000 0.0000
2 Tm 0.2120 0.2120 0.0000
3 Tm 0.4169 0.4169 0.0000
4 Tm 0.5831 0.5831 0.0000
5 Tm 0.7880 0.7880 0.0000
6 Te 0.1074 0.1074 0.0000
7 Te 0.3098 0.3098 0.0000
8 Te 0.6902 0.6902 0.0000
9 Te 0.8926 0.8926 0.0000
10 Ir 0.5000 0.5000 0.0000

## Properties
* E_form (uncorrected): -1.13 eV/atom
* polymorph energy (0 for the lowest one): 35 meV per atom



A plane-wave DFT calculation with PBE was carried out for a relaxed Tm4TeIr2 crystal.

Lattice parameters (Å, degrees): 8.4217 8.4217 8.4329 120.01 120.01 60.09
Sites, in units of the cell vectors:
1 Tm 0.1902 0.7701 0.7302
2 Tm 0.2303 0.2303 0.2700
3 Tm 0.2303 0.2303 0.6903
4 Tm 0.2299 0.8098 0.2698
5 Tm 0.7701 0.1902 0.7302
6 Tm 0.7697 0.7697 0.3097
7 Tm 0.7697 0.7697 0.7300
8 Tm 0.8098 0.2299 0.2698
9 Te 0.3749 0.3749 0.1247
10 Te 0.6251 0.6251 0.8753
11 Ir 0.0000 0.0000 0.0000
12 Ir 0.0000 0.0000 0.5000
13 Ir 0.0000 0.5000 0.5000
14 Ir 0.5000 0.0000 0.5000

## Properties
* E_form (uncorrected): -0.84 eV/atom



A plane-wave DFT calculation with PBE was carried out for a relaxed Tm3Te2Ir crystal.

Lattice parameters (Å, degrees): 13.9617 13.3061 7.4042 79.19 69.41 31.39
Sites, in units of the cell vectors:
1 Tm 0.0369 0.5310 0.1755
2 Tm 0.0855 0.6645 0.6645
3 Tm 0.1755 0.7566 0.0369
4 Tm 0.2434 0.8245 0.4690
5 Tm 0.3355 0.9145 0.9145
6 Tm 0.4690 0.9631 0.2434
7 Tm 0.5310 0.0369 0.7566
8 Tm 0.6645 0.0855 0.0855
9 Tm 0.7566 0.1755 0.5310
10 Tm 0.8245 0.2434 0.9631
11 Tm 0.9145 0.3355 0.3355
12 Tm 0.9631 0.4690 0.8245
13 Te 0.1310 0.1310 0.6190
14 Te 0.2960 0.2960 0.4540
15 Te 0.3810 0.3810 0.8690
16 Te 0.4540 0.4540 0.2960
17 Te 0.5460 0.5460 0.7040
18 Te 0.6190 0.6190 0.1310
19 Te 0.7040 0.7040 0.5460
20 Te 0.8690 0.8690 0.3810
21 Ir 0.0418 0.0418 0.2082
22 Ir 0.2082 0.2082 0.0418
23 Ir 0.7918 0.7918 0.9582
24 Ir 0.9582 0.9582 0.7918

## Properties
* E_form (uncorrected): -1.14 eV/atom
* polymorph energy (0 for the lowest one): 0 meV per atom



A plane-wave DFT calculation with PBE was carried out for a relaxed Tm7Te2Ir2 crystal.

Lattice parameters (Å, degrees): 9.2802 9.2802 9.2802 155.64 66.37 119.33
Sites, in units of the cell vectors:
1 Tm 0.0000 0.0000 0.0000
2 Tm 0.2861 0.4182 0.8679
3 Tm 0.3151 0.6299 0.6852
4 Tm 0.5503 0.4182 0.1321
5 Tm 0.6234 0.2702 0.3532
6 Tm 0.9169 0.2702 0.6468
7 Tm 0.9447 0.6299 0.3148
8 Te 0.2646 0.7646 0.5000
9 Te 0.6636 0.6636 0.0000
10 Ir 0.1679 0.9299 0.2380
11 Ir 0.6918 0.9299 0.7620

## Properties
* E_form (uncorrected): -0.93 eV/atom
* polymorph energy (0 for the lowest one): 0 meV per atom



A plane-wave DFT calculation with PBE was carried out for a relaxed Tm2TeIr crystal.

Lattice parameters (Å, degrees): 7.4983 7.4983 7.4983 31.71 31.71 31.71
Sites, in units of the cell vectors:
1 Tm 0.2354 0.2354 0.2354
2 Tm 0.7646 0.7646 0.7646
3 Te 0.0000 0.0000 0.0000
4 Ir 0.5000 0.5000 0.5000

## Properties
* E_form (uncorrected): -1.01 eV/atom
* polymorph energy (0 for the lowest one): 0 meV per atom



A plane-wave DFT calculation with PBE was carried out for a relaxed Tm5Te2Ir2 crystal.

Lattice parameters (Å, degrees): 8.6604 8.6604 7.6786 90.00 90.00 52.75
Sites, in units of the cell vectors:
1 Tm 0.0000 0.0000 0.0000
2 Tm 0.0436 0.7259 0.6578
3 Tm 0.2259 0.5436 0.1578
4 Tm 0.2741 0.9564 0.6578
5 Tm 0.4564 0.7741 0.1578
6 Tm 0.5000 0.5000 0.5000
7 Tm 0.5436 0.2259 0.8422
8 Tm 0.7259 0.0436 0.3422
9 Tm 0.7741 0.4564 0.8422
10 Tm 0.9564 0.2741 0.3422
11 Te 0.2105 0.2105 0.0000
12 Te 0.2895 0.2895 0.5000
13 Te 0.7105 0.7105 0.5000
14 Te 0.7895 0.7895 0.0000
15 Ir 0.1397 0.8603 0.3618
16 Ir 0.3603 0.6397 0.8618
17 Ir 0.6397 0.3603 0.1382
18 Ir 0.8603 0.1397 0.6382

## Properties
* E_form (uncorrected): -1.08 eV/atom



A plane-wave DFT calculation with PBE was carried out for a relaxed Tm3Te2Ir crystal.

Lattice parameters (Å, degrees): 7.8334 7.8334 4.1501 90.00 90.00 135.55
Sites, in units of the cell vectors:
1 Tm 0.0000 0.0000 0.0000
2 Tm 0.3779 0.6221 0.5000
3 Tm 0.6221 0.3779 0.5000
4 Te 0.1602 0.8398 0.5000
5 Te 0.8398 0.1602 0.5000
6 Ir 0.5000 0.5000 0.0000

## Properties
* E_form (uncorrected): -0.99 eV/atom
* polymorph energy (0 for the lowest one): 152 meV per atom



Summary of calculated total energy in Ha/atom
-0.1865; -0.2024; -0.2342; -0.2169; -0.2190; -0.2297; -0.2291; -0.2113
(order as listed above)